Material: ZnFeRh2
Method: DFT, PBE
State: relaxed

Cell lengths 4.9237, 4.9237, 4.4225 Å; angles 69.26, 69.26, 33.42 degrees
Closest atoms and distances in Å follow each position.
Fractional coordinates of all 4 atoms:
Fe 0.7492 0.7492 0.8113  7 Rh 2.60-2.64, 2 Zn 2.71, 2 Fe 2.83
Rh 0.0027 0.0027 0.9354  3 Fe 2.60-2.64, 4 Zn 2.61-2.64, 5 Rh 2.74-2.88
Rh 0.2495 0.2495 0.3111  3 Zn 2.62-2.63, 4 Fe 2.63, 5 Rh 2.74-2.88
Zn 0.4986 0.4986 0.4421  7 Rh 2.61-2.64, 3 Fe 2.71-2.91, 2 Zn 2.83

Output
Total energy = -6.251 eV per atom
Theoretical density = 9.898 g/cm³
V = 55 Å³ per cell
Energy relative to the elements = -140.8 meV/atom
SG = No. 8



Material: ZnFeRh2
Method: DFT, PBE
State: relaxed

Cell lengths 8.5565, 8.5565, 8.5565 Å; angles 18.51, 18.51, 18.51 degrees
Closest atoms and distances in Å follow each position.
Fractional coordinates of all 4 atoms:
Fe 0.7500 0.7500 0.7500  6 Rh 2.61, 6 Fe 2.75
Rh 0.0014 0.0014 0.0014  3 Fe 2.61, 3 Zn 2.66, 6 Rh 2.75
Rh 0.4986 0.4986 0.4986  3 Fe 2.61, 3 Zn 2.66, 6 Rh 2.75
Zn 0.2500 0.2500 0.2500  6 Rh 2.66, 6 Zn 2.75

Output
Total energy = -6.242 eV per atom
Theoretical density = 9.851 g/cm³
V = 55 Å³ per cell
Energy relative to the elements = -132.2 meV/atom
SG = No. 166



Material: ZnFe2Rh8
Method: DFT, PBE
State: relaxed

Cell lengths 4.0023, 6.8050, 6.9548 Å; angles 119.29, 106.72, 90.00 degrees
Closest atoms and distances in Å follow each position.
Fractional coordinates of all 11 atoms:
Zn 0.5000 0.0000 0.0000  12 Rh 2.62-2.90
Rh 0.6565 0.8695 0.3130  3 Fe 2.52-2.56, 1 Zn 2.65, 5 Rh 2.67-2.80
Rh 0.3435 0.5565 0.6870  3 Fe 2.52-2.56, 1 Zn 2.65, 5 Rh 2.67-2.80
Rh 0.1473 0.1473 0.2946  2 Zn 2.62, 2 Fe 2.66, 8 Rh 2.67-2.80
Rh 0.0000 0.3090 0.0000  7 Rh 2.60-2.70, 2 Fe 2.62, 2 Zn 2.90
Rh 0.8527 0.8527 0.7054  2 Zn 2.62, 2 Fe 2.66, 8 Rh 2.67-2.80
Rh 0.6565 0.4435 0.3130  3 Fe 2.52-2.56, 1 Zn 2.65, 5 Rh 2.67-2.80
Rh 0.3435 0.1305 0.6870  3 Fe 2.52-2.56, 1 Zn 2.65, 5 Rh 2.67-2.80
Rh 0.0000 0.6910 0.0000  7 Rh 2.60-2.70, 2 Fe 2.62, 2 Zn 2.90
Fe 0.1991 0.6991 0.3983  10 Rh 2.52-2.66
Fe 0.8009 0.3009 0.6017  10 Rh 2.52-2.66

Output
Total energy = -6.955 eV per atom
Theoretical density = 10.651 g/cm³
V = 156 Å³ per cell
Energy relative to the elements = 46.4 meV/atom
SG = No. 71